{"formula": "LiNiP2O7", "functional": "GGA+U", "state": "optimized geometry", "dos_at_fermi_per_ev_cell": 0.91, "energy_ev_per_atom": -6.41, "space_group": "C2/c", "cell": [[4.8662, -4.1144, 0.0000], [4.8662, 4.1144, 0.0000], [-4.1256, 0.0000, 13.4742]], "species": ["Li", "Li", "Li", "Li", "Ni", "Ni", "Ni", "Ni", "P", "P", "P", "P", "P", "P", "P", "P", "O", "O", "O", "O", "O", "O", "O", "O", "O", "O", "O", "O", "O", "O", "O", "O", "O", "O", "O", "O", "O", "O", "O", "O", "O", "O", "O", "O"], "frac_coords": [[0.1692, 0.2411, 0.3332], [0.2411, 0.1692, 0.8332], [0.7589, 0.8308, 0.1668], [0.8308, 0.7589, 0.6668], [0.1848, 0.3826, 0.6534], [0.3826, 0.1848, 0.1534], [0.6174, 0.8152, 0.8466], [0.8152, 0.6174, 0.3466], [0.1552, 0.7001, 0.8636], [0.2480, 0.6971, 0.0884], [0.2999, 0.8448, 0.6364], [0.3029, 0.7520, 0.4116], [0.6971, 0.2480, 0.5884], [0.7001, 0.1552, 0.3636], [0.7520, 0.3029, 0.9116], [0.8448, 0.2999, 0.1364], [0.0535, 0.7928, 0.1387], [0.0776, 0.2013, 0.1774], [0.1407, 0.6856, 0.6281], [0.1480, 0.5815, 0.3871], [0.1508, 0.6592, 0.9707], [0.2013, 0.0776, 0.6774], [0.2058, 0.4739, 0.8018], [0.2072, 0.9465, 0.3613], [0.3144, 0.8593, 0.8719], [0.3265, 0.4716, 0.1104], [0.3408, 0.8492, 0.5293], [0.4185, 0.8520, 0.1129], [0.4716, 0.3265, 0.6104], [0.4739, 0.2058, 0.3018], [0.5261, 0.7942, 0.6982], [0.5284, 0.6735, 0.3896], [0.5815, 0.1480, 0.8871], [0.6592, 0.1508, 0.4707], [0.6735, 0.5284, 0.8896], [0.6856, 0.1407, 0.1281], [0.7928, 0.0535, 0.6387], [0.7942, 0.5261, 0.1982], [0.7987, 0.9224, 0.3226], [0.8492, 0.3408, 0.0293], [0.8520, 0.4185, 0.6129], [0.8593, 0.3144, 0.3719], [0.9224, 0.7987, 0.8226], [0.9465, 0.2072, 0.8613]]}